Tl2PtBr7, relaxed, DFT GGA-PBE; N(E_F) = 2.27 states/eV/f.u.; E = -2.60 eV per atom; ΔE_f (raw) = -0.355 eV/atom
1.0
8.000 -4.377 0.000
8.000 4.377 0.000
-5.085 0.000 10.922
Tl Pt Br
4 2 14
Direct
0.215 0.241 0.082
0.241 0.215 0.582
0.759 0.785 0.418
0.785 0.759 0.918
0.296 0.704 0.750
0.704 0.296 0.250
0.014 0.986 0.750
0.069 0.645 0.182
0.182 0.561 0.813
0.207 0.572 0.532
0.355 0.931 0.318
0.428 0.793 0.968
0.439 0.818 0.687
0.561 0.182 0.313
0.572 0.207 0.032
0.645 0.069 0.682
0.793 0.428 0.468
0.818 0.439 0.187
0.931 0.355 0.818
0.986 0.014 0.250